Record 1
Density functional theory data (PBE) for an optimized crystal structure of ScPdS2N.

The energy above the most stable polymorph in this dataset is 0 meV/atom. The value obtained for the raw formation energy is 95.0 meV per atom.

The space group is P4/mmm (No. 123) and the conventional cell measures 4.828, 4.828 and 3.747 Å, with angles of 90.00, 90.00 and 90.00 degrees. The asymmetric unit holds Sc at (0.000, 0.000, 0.000), Pd at (0.500, 0.500, 0.500), S at (0.000, 0.500, 0.500) and N at (0.500, 0.500, 0.000).

Record 2
Density functional theory data (PBE) for an optimized crystal structure of PdSe2SN.

The energy above the most stable polymorph in this dataset is 0 meV/atom. The value obtained for the raw formation energy is 879.9 meV per atom.

The space group is P4/mmm (No. 123) and the conventional cell measures 5.056, 5.056 and 3.230 Å, with angles of 90.00, 90.00 and 90.00 degrees. The asymmetric unit holds Pd at (0.000, 0.000, 0.000), Se at (0.000, 0.500, 0.500), S at (0.500, 0.500, 0.500) and N at (0.500, 0.500, 0.000).

Record 3
Density functional theory data (PBE) for an optimized crystal structure of PdSe2SN.

The energy above the most stable polymorph in this dataset is 185 meV/atom. The value obtained for the raw formation energy is 1064.8 meV per atom.

The space group is P4/mmm (No. 123) and the conventional cell measures 5.126, 5.126 and 3.687 Å, with angles of 90.00, 90.00 and 90.00 degrees. The asymmetric unit holds Pd at (0.000, 0.000, 0.000), Se at (0.000, 0.500, 0.000), S at (0.500, 0.500, 0.500) and N at (0.000, 0.000, 0.500).

Record 4
Density functional theory data (PBE) for an optimized crystal structure of SnPdS2N.

The energy above the most stable polymorph in this dataset is 0 meV/atom. The value obtained for the raw formation energy is 546.4 meV per atom.

The space group is P4/mmm (No. 123) and the conventional cell measures 4.997, 4.997 and 3.754 Å, with angles of 90.00, 90.00 and 90.00 degrees. The asymmetric unit holds Sn at (0.000, 0.000, 0.000), Pd at (0.500, 0.500, 0.500), S at (0.000, 0.500, 0.500) and N at (0.500, 0.500, 0.000).

Record 5
Density functional theory data (PBE) for an optimized crystal structure of SnPdS2N.

The energy above the most stable polymorph in this dataset is 545 meV/atom. The value obtained for the raw formation energy is 1091.6 meV per atom.

The space group is P4/mmm (No. 123) and the conventional cell measures 5.062, 5.062 and 3.934 Å, with angles of 90.00, 90.00 and 90.00 degrees. The asymmetric unit holds Sn at (0.000, 0.000, 0.000), Pd at (0.500, 0.500, 0.500), S at (0.000, 0.500, 0.000) and N at (0.000, 0.000, 0.500).

Record 6
Density functional theory data (PBE) for an optimized crystal structure of SrPdSN2.

The energy above the most stable polymorph in this dataset is 0 meV/atom. The value obtained for the raw formation energy is 421.0 meV per atom.

The space group is P4/mmm (No. 123) and the conventional cell measures 4.125, 4.125 and 5.052 Å, with angles of 90.00, 90.00 and 90.00 degrees. The asymmetric unit holds Sr at (0.000, 0.000, 0.000), Pd at (0.500, 0.500, 0.500), S at (0.500, 0.500, 0.000) and N at (0.000, 0.500, 0.500).